Arrangement 1

Entry from Alexandria: a PBEsol-optimized structure of Li4Ti3O8 (meta-GGA SCAN).

Values from the calculation:
density: 3511 kg/m3

Structure (POSCAR):
```
Li4Ti3O8
1.0
5.824 0.004 0.026
-2.855 5.076 -0.026
-2.806 -1.768 4.778
Li Ti O
4 3 8
direct
0.000 0.500 0.500 Li
0.500 0.000 0.000 Li
0.000 0.500 0.000 Li
0.000 0.000 0.000 Li
0.000 0.000 0.500 Ti
0.500 0.500 0.500 Ti
0.500 0.000 0.500 Ti
0.517 0.755 0.273 O
0.970 0.750 0.720 O
0.498 0.756 0.717 O
0.039 0.781 0.283 O
0.502 0.244 0.283 O
0.961 0.219 0.717 O
0.030 0.250 0.280 O
0.483 0.245 0.727 O
```

Arrangement 2

Entry from Alexandria: a PBEsol-optimized structure of Li4Ti3O8 (meta-GGA SCAN).

Values from the calculation:
density: 3581 kg/m3

Structure (POSCAR):
```
Li4Ti3O8
1.0
-5.354 1.820 -1.281
-4.559 -3.324 1.337
-3.579 1.618 4.265
Li Ti O
4 3 8
direct
0.500 0.500 0.000 Li
0.500 0.000 0.500 Li
0.000 0.000 0.000 Li
0.000 0.500 0.500 Li
0.500 0.000 0.000 Ti
0.000 0.500 0.000 Ti
0.000 0.000 0.500 Ti
0.246 0.246 0.246 O
0.216 0.755 0.755 O
0.245 0.245 0.784 O
0.245 0.784 0.245 O
0.755 0.216 0.755 O
0.755 0.755 0.216 O
0.784 0.245 0.245 O
0.754 0.754 0.754 O
```

Looking at the structures above, arrangement 1 is most stable, and the difference to the next one is 3.6 kJ/mol of atoms.